# 1
## Cs2Ca3CeF12 (PBE-GGA)

Data for an optimized crystal structure of Cs2Ca3CeF12. Values from VASP.

Total magnetization (μB/atom): 0.009
Raw formation energy (eV per formula unit): -64.7
VASP energy (eV/atom): -5.60
V (Å³/cell): 411.0

Cell and atoms, written as Quantum ESPRESSO input:
```
&SYSTEM
  ibrav = 0, nat = 18, ntyp = 4
/
ATOMIC_SPECIES
F 19.00 F.upf
Cs 132.91 Cs.upf
Ce 140.12 Ce.upf
Ca 40.08 Ca.upf
CELL_PARAMETERS angstrom
8.503 0.210 0.149
4.382 7.290 0.149
4.382 2.551 6.831
ATOMIC_POSITIONS angstrom
F 3.878 5.219 0.563
F 13.390 7.794 2.390
F 8.205 7.579 2.405
F 9.063 5.275 0.771
F 6.625 6.660 4.724
F 3.878 2.257 4.740
F 9.063 2.472 4.724
F 10.643 3.391 2.405
F 10.814 9.257 6.566
F 8.205 4.776 6.358
F 13.390 4.832 6.566
F 6.454 0.794 0.563
Cs 7.071 4.116 2.919
Cs 10.197 5.936 4.210
Ce 0.000 0.000 0.000
Ca 4.252 0.105 0.075
Ca 2.191 1.275 3.415
Ca 2.191 3.645 0.075
```



# 2
## CsCaCeI6 (PBE-GGA)

Data for an optimized crystal structure of CsCaCeI6. Values from VASP.

Total magnetization (μB/atom): 0.111
Raw formation energy (eV per formula unit): -13.5
VASP energy (eV/atom): -3.51
V (Å³/cell): 991.5

Cell and atoms, written as Quantum ESPRESSO input:
```
&SYSTEM
  ibrav = 0, nat = 18, ntyp = 4
/
ATOMIC_SPECIES
I 126.90 I.upf
Ce 140.12 Ce.upf
Ca 40.08 Ca.upf
Cs 132.91 Cs.upf
CELL_PARAMETERS angstrom
8.191 0.000 0.000
-4.096 7.094 0.000
0.000 0.000 17.064
ATOMIC_POSITIONS angstrom
I 1.018 7.092 6.098
I 1.540 2.664 14.630
I -2.556 4.430 6.098
I 3.077 0.001 10.966
I 6.651 2.664 10.966
I 1.537 2.666 6.098
I 2.558 4.428 10.966
I -1.537 2.666 2.434
I 2.556 4.430 2.434
I 5.633 4.428 14.630
I -1.018 7.092 2.434
I 5.114 0.001 14.630
Ce 0.000 4.729 12.798
Ce 4.096 2.365 4.266
Ca 4.096 2.365 12.798
Ca 0.000 4.729 4.266
Cs 0.000 0.000 8.532
Cs 0.000 0.000 0.000
```



# 3
## Cs2CaCeO4 (PBE-GGA)

Data for an optimized crystal structure of Cs2CaCeO4. Values from VASP.

Total magnetization (μB/atom): 0.000
Raw formation energy (eV per formula unit): -19.1
VASP energy (eV/atom): -6.07
V (Å³/cell): 407.7

Cell and atoms, written as Quantum ESPRESSO input:
```
&SYSTEM
  ibrav = 0, nat = 16, ntyp = 4
/
ATOMIC_SPECIES
Ca 40.08 Ca.upf
Ce 140.12 Ce.upf
O 16.00 O.upf
Cs 132.91 Cs.upf
CELL_PARAMETERS angstrom
-0.104 -4.026 -5.322
7.784 -0.470 0.203
-0.499 -6.227 4.721
ATOMIC_POSITIONS angstrom
Ca 1.062 -4.092 -5.285
Ca 6.316 -5.521 -0.121
Ce 0.810 -7.201 -2.920
Ce 6.568 -2.404 -2.476
O 7.030 -3.675 -4.104
O 0.573 -1.342 -1.710
O 1.734 -8.553 -1.513
O 0.388 -4.386 0.749
O 1.972 -5.588 -3.761
O 6.841 -6.866 -1.839
O 5.155 -6.893 1.349
O 5.416 -3.631 -1.124
Cs 5.026 -5.854 -3.929
Cs 2.354 -3.663 -1.349
Cs 4.777 -8.954 -1.579
Cs 2.104 -6.790 1.021
```